1.
## Na2TlSbBr8 (PBE)

Data for a relaxed Na2TlSbBr8 crystal.

Cell: 6.8685 6.3034 9.7706 Å, 89.90 89.99 95.39°
Fractional coordinates of all 12 atoms:
Na 0.4997 0.4984 0.7588
Na 0.5003 0.5016 0.2412
Tl 0.0000 0.0000 0.5000
Sb 0.0000 0.0000 0.0000
Br 0.1488 0.7746 0.2058
Br 0.6664 0.7339 0.9994
Br 0.8496 0.2238 0.2054
Br 0.8512 0.2254 0.7942
Br 0.3336 0.2661 0.0006
Br 0.1504 0.7762 0.7946
Br 0.5184 0.7538 0.5002
Br 0.4816 0.2462 0.4998

Results
* magnetic moment: 0.4 μB/f.u.
* DOS at the Fermi energy: 0.49 states/eV per atom
* symmetry: P-1
* E: -2.66 eV/atom


2.
## Ba6Bi2TeP (PBE)

Data for a relaxed Ba6Bi2TeP crystal.

Cell: 8.2455 9.3322 12.1796 Å, 90.00 89.97 90.00°
Fractional coordinates of all 20 atoms:
Ba 0.3112 0.6766 0.0706
Ba 0.8112 0.8234 0.5706
Ba 0.6888 0.3234 0.9294
Ba 0.1888 0.1766 0.4294
Ba 0.3344 0.7015 0.4312
Ba 0.8344 0.7985 0.9312
Ba 0.6656 0.2985 0.5688
Ba 0.1656 0.2015 0.0688
Ba 0.8592 0.5539 0.2381
Ba 0.3592 0.9461 0.7381
Ba 0.1408 0.4461 0.7619
Ba 0.6408 0.0539 0.2619
Bi 0.0440 0.9022 0.2471
Bi 0.5440 0.5978 0.7471
Bi 0.9560 0.0978 0.7529
Bi 0.4560 0.4022 0.2529
Te 0.5000 0.0000 0.0000
Te 0.0000 0.5000 0.5000
P 0.5000 0.0000 0.5000
P 0.0000 0.5000 0.0000

Results
* magnetic moment: 0.9 μB/f.u.
* DOS at the Fermi energy: 0.39 states/eV per atom
* symmetry: P2_1/c
* E: -3.83 eV/atom


3.
## Ho6Te3Ir2Pb (PBE)

Data for a relaxed Ho6Te3Ir2Pb crystal.

Cell: 4.1573 8.8270 9.7304 Å, 106.85 102.33 90.00°
Fractional coordinates of all 12 atoms:
Ho 0.3278 0.8792 0.6557
Ho 0.6807 0.5584 0.3614
Ho 0.6722 0.1208 0.3443
Ho 0.0141 0.2608 0.0283
Ho 0.9859 0.7392 0.9717
Ho 0.3193 0.4416 0.6386
Te 0.5000 0.5000 0.0000
Te 0.8393 0.1660 0.6786
Te 0.1607 0.8340 0.3214
Ir 0.8331 0.6679 0.6662
Ir 0.1669 0.3321 0.3338
Pb 0.5000 0.0000 0.0000

Results
* magnetic moment: 0.0 μB/f.u.
* DOS at the Fermi energy: 0.44 states/eV per atom
* symmetry: C2/m
* E: -5.85 eV/atom


4.
## Li3Ac2RuO6 (PBE)

Data for a relaxed Li3Ac2RuO6 crystal.

Cell: 6.3303 6.3303 5.3877 Å, 96.72 96.72 128.09°
Fractional coordinates of all 12 atoms:
Li 0.1011 0.8989 0.5000
Li 0.8989 0.1011 0.5000
Li 0.5000 0.5000 0.5000
Ac 0.3373 0.6627 0.0000
Ac 0.6627 0.3373 0.0000
Ru 0.0000 0.0000 0.0000
O 0.9557 0.6795 0.7578
O 0.7407 0.7407 0.2501
O 0.0443 0.3205 0.2422
O 0.6795 0.9557 0.7578
O 0.2593 0.2593 0.7499
O 0.3205 0.0443 0.2422

Results
* magnetic moment: 1.0 μB/f.u.
* DOS at the Fermi energy: 0.04 states/eV per atom
* symmetry: C2/m
* E: -6.51 eV/atom


Q: DOS at the Fermi energy of number 2 (Ba6Bi2TeP)?
A: 0.39 states/eV per atom